A plane-wave DFT calculation with PBE-GGA was carried out for Zr2CrHg after structural relaxation.

Lattice parameters (Å, degrees): 8.944 8.944 8.944 21.14 21.14 21.14
Fractional positions:
Zr 0.239 0.239 0.239
Zr 0.761 0.761 0.761
Cr 0.500 0.500 0.500
Hg 0.000 0.000 0.000

Values from the calculation:
formation enthalpy at 0 K = 0.17 eV per atom
DOS at the Fermi energy = 4.4 states/eV/cell
distance to the lowest polymorph of the same formula = 189.1 meV per atom

=====

A plane-wave DFT calculation with PBE-GGA was carried out for CdHgS2O8 after structural relaxation.

Lattice parameters (Å, degrees): 7.744 7.744 7.744 37.07 37.07 37.07
Fractional positions:
Cd 0.000 0.000 0.000
Hg 0.500 0.500 0.500
S 0.243 0.243 0.243
S 0.757 0.757 0.757
O 0.033 0.458 0.713
O 0.174 0.174 0.174
O 0.287 0.542 0.967
O 0.458 0.713 0.033
O 0.542 0.967 0.287
O 0.713 0.033 0.458
O 0.826 0.826 0.826
O 0.967 0.287 0.542

Values from the calculation:
energy relative to the elements, uncorrected = -1.086 eV/atom

=====

A plane-wave DFT calculation with PBE-GGA was carried out for Be2Au2O after structural relaxation.

Lattice parameters (Å, degrees): 6.581 6.581 6.581 151.97 151.97 40.06
Fractional positions:
Be 0.250 0.750 0.500
Be 0.750 0.250 0.500
Au 0.117 0.117 0.000
Au 0.883 0.883 0.000
O 0.500 0.500 0.000

Values from the calculation:
energy relative to the elements, uncorrected = -0.042 eV/atom
DOS at the Fermi energy = 0.1 states/eV/cell
distance to the lowest polymorph of the same formula = 0.0 meV per atom

=====

A plane-wave DFT calculation with PBE-GGA was carried out for ZrHgIr2 after structural relaxation.

Lattice parameters (Å, degrees): 9.056 9.056 9.056 19.79 19.79 19.79
Fractional positions:
Zr 0.000 0.000 0.000
Hg 0.500 0.500 0.500
Ir 0.257 0.257 0.257
Ir 0.743 0.743 0.743

Values from the calculation:
formation enthalpy at 0 K = -0.06 eV per atom
DOS at the Fermi energy = 0.5 states/eV/cell

=====

A plane-wave DFT calculation with PBE-GGA was carried out for Ag2Te2Br after structural relaxation.

Lattice parameters (Å, degrees): 9.156 9.156 3.059 90.00 90.00 90.00
Fractional positions:
Ag 0.160 0.340 0.000
Ag 0.340 0.840 0.000
Ag 0.660 0.160 0.000
Ag 0.840 0.660 0.000
Te 0.137 0.637 0.500
Te 0.363 0.137 0.500
Te 0.637 0.863 0.500
Te 0.863 0.363 0.500
Br 0.000 0.000 0.000
Br 0.500 0.500 0.000

Values from the calculation:
energy relative to the elements, uncorrected = 0.101 eV/atom
DOS at the Fermi energy = 6.9 states/eV/cell
distance to the lowest polymorph of the same formula = 202.7 meV per atom

=====

A plane-wave DFT calculation with PBE-GGA was carried out for Si2OsCl after structural relaxation.

Lattice parameters (Å, degrees): 7.984 7.984 7.984 159.09 152.18 35.06
Fractional positions:
Si 0.000 0.000 0.000
Si 0.658 0.158 0.500
Os 0.131 0.631 0.500
Cl 0.417 0.417 0.000

Values from the calculation:
energy relative to the elements, uncorrected = 0.191 eV/atom
DOS at the Fermi energy = 2.0 states/eV/cell
distance to the lowest polymorph of the same formula = 279.2 meV per atom

=====

Repeat the fifth record exactly.
A plane-wave DFT calculation with PBE-GGA was carried out for Ag2Te2Br after structural relaxation.

Lattice parameters (Å, degrees): 9.156 9.156 3.059 90.00 90.00 90.00
Fractional positions:
Ag 0.160 0.340 0.000
Ag 0.340 0.840 0.000
Ag 0.660 0.160 0.000
Ag 0.840 0.660 0.000
Te 0.137 0.637 0.500
Te 0.363 0.137 0.500
Te 0.637 0.863 0.500
Te 0.863 0.363 0.500
Br 0.000 0.000 0.000
Br 0.500 0.500 0.000

Values from the calculation:
energy relative to the elements, uncorrected = 0.101 eV/atom
DOS at the Fermi energy = 6.9 states/eV/cell
distance to the lowest polymorph of the same formula = 202.7 meV per atom

=====

Repeat the first record exactly.
A plane-wave DFT calculation with PBE-GGA was carried out for Zr2CrHg after structural relaxation.

Lattice parameters (Å, degrees): 8.944 8.944 8.944 21.14 21.14 21.14
Fractional positions:
Zr 0.239 0.239 0.239
Zr 0.761 0.761 0.761
Cr 0.500 0.500 0.500
Hg 0.000 0.000 0.000

Values from the calculation:
formation enthalpy at 0 K = 0.17 eV per atom
DOS at the Fermi energy = 4.4 states/eV/cell
distance to the lowest polymorph of the same formula = 189.1 meV per atom